# 1
## InCoB3 (PBE)

Data for a relaxed InCoB3 crystal.

## Properties
The distance to the lowest polymorph of the same formula comes out at 0 meV/atom. The calculation puts the total energy at -5.00 eV per atom. The spin magnetization is 0.00 μB/atom. Its theoretical density is 5.62 g/cm³.

Cell lengths 3.9340, 3.9340, 3.9340 Å; angles 90.00, 90.00, 90.00 degrees
With the nearest neighbours (Å) after each atom.
Sites, in units of the cell vectors:
1 B 0.0000 0.5000 0.0000  2 Co 1.97
2 B 0.0000 0.0000 0.5000  2 Co 1.97
3 B 0.5000 0.0000 0.0000  2 Co 1.97
4 Co 0.0000 0.0000 0.0000  6 B 1.97
5 In 0.5000 0.5000 0.5000  12 B 2.78

# 2
## In3CoB (PBE)

Data for a relaxed In3CoB crystal.

## Properties
The distance to the lowest polymorph of the same formula comes out at 88 meV/atom. The calculation puts the total energy at -3.40 eV per atom. The spin magnetization is 0.00 μB/atom. Its theoretical density is 6.82 g/cm³.

Cell lengths 4.6557, 4.6557, 4.6557 Å; angles 90.00, 90.00, 90.00 degrees
With the nearest neighbours (Å) after each atom.
Sites, in units of the cell vectors:
1 B 0.0000 0.0000 0.0000  6 In 2.33
2 Co 0.5000 0.5000 0.5000  12 In 3.29
3 In 0.0000 0.5000 0.0000  2 B 2.33
4 In 0.0000 0.0000 0.5000  2 B 2.33
5 In 0.5000 0.0000 0.0000  2 B 2.33

# 3
## InCoB3 (PBE)

Data for a relaxed InCoB3 crystal.

## Properties
The distance to the lowest polymorph of the same formula comes out at 1717 meV/atom. The calculation puts the total energy at -3.28 eV per atom. The spin magnetization is 0.31 μB/atom. Its theoretical density is 3.99 g/cm³.

Cell lengths 4.4098, 4.4098, 4.4098 Å; angles 90.00, 90.00, 90.00 degrees
With the nearest neighbours (Å) after each atom.
Sites, in units of the cell vectors:
1 B 0.0000 0.5000 0.0000  2 In 2.20
2 B 0.0000 0.0000 0.5000  2 In 2.20
3 B 0.5000 0.0000 0.0000  2 In 2.20
4 Co 0.5000 0.5000 0.5000  12 B 3.12
5 In 0.0000 0.0000 0.0000  6 B 2.20

# 4
## InCo2B (PBE)

Data for a relaxed InCo2B crystal.

## Properties
The calculation puts the total energy at -5.33 eV per atom. The spin magnetization is 0.08 μB/atom. Its theoretical density is 8.65 g/cm³.

Cell lengths 4.0428, 4.0428, 4.0428 Å; angles 60.00, 60.00, 60.00 degrees
With the nearest neighbours (Å) after each atom.
Sites, in units of the cell vectors:
1 B 0.0000 0.0000 0.0000  8 Co 2.48
2 Co 0.2500 0.2500 0.2500  4 In 2.48, 4 B 2.48
3 Co 0.7500 0.7500 0.7500  4 In 2.48, 4 B 2.48
4 In 0.5000 0.5000 0.5000  8 Co 2.48

# 5
## In3CoB (PBE)

Data for a relaxed In3CoB crystal.

## Properties
The distance to the lowest polymorph of the same formula comes out at 0 meV/atom. The calculation puts the total energy at -3.49 eV per atom. The spin magnetization is 0.00 μB/atom. Its theoretical density is 5.90 g/cm³.

Cell lengths 4.8852, 4.8852, 4.8852 Å; angles 90.00, 90.00, 90.00 degrees
With the nearest neighbours (Å) after each atom.
Sites, in units of the cell vectors:
1 B 0.5000 0.5000 0.5000  12 In 3.45
2 Co 0.0000 0.0000 0.0000  6 In 2.44
3 In 0.0000 0.5000 0.0000  2 Co 2.44
4 In 0.0000 0.0000 0.5000  2 Co 2.44
5 In 0.5000 0.0000 0.0000  2 Co 2.44

# 6
## InCo10B3 (PBE)

Data for a relaxed InCo10B3 crystal.

## Properties
The calculation puts the total energy at -6.81 eV per atom. The spin magnetization is 0.76 μB/atom. Its theoretical density is 8.33 g/cm³.

Cell lengths 7.4601, 7.4601, 7.4601 Å; angles 60.00, 60.00, 60.00 degrees
With the nearest neighbours (Å) after each atom.
Sites, in units of the cell vectors:
1 In 0.2500 0.2500 0.2500  4 Co 2.49
2 In 0.7500 0.7500 0.7500  4 Co 2.49
3 Co 0.0000 0.0000 0.3330  2 B 2.10
4 Co 0.0000 0.3330 0.0000  2 B 2.10
5 Co 0.3330 0.0000 0.0000  2 B 2.10
6 Co 0.6670 0.3330 0.0000  2 B 2.10
7 Co 0.3864 0.3864 0.3864  3 B 2.06
8 Co 0.1592 0.6136 0.6136  3 B 2.06
9 Co 0.3864 0.8408 0.3864  3 B 2.06
10 Co 0.6670 0.0000 0.3330  2 B 2.10
11 Co 0.3864 0.3864 0.8408  3 B 2.06
12 Co 0.8408 0.3864 0.3864  3 B 2.06
13 Co 0.6136 0.6136 0.1592  3 B 2.06
14 Co 0.0000 0.0000 0.6670  2 B 2.10
15 Co 0.3330 0.6670 0.0000  2 B 2.10
16 Co 0.0000 0.6670 0.3330  2 B 2.10
17 Co 0.0000 0.3330 0.6670  2 B 2.10
18 Co 0.6670 0.0000 0.0000  2 B 2.10
19 Co 0.6136 0.6136 0.6136  3 B 2.06
20 Co 0.0000 0.6670 0.0000  2 B 2.10
21 Co 0.6136 0.1592 0.6136  3 B 2.06
22 Co 0.3330 0.0000 0.6670  2 B 2.10
23 B 0.7241 0.7241 0.2759  8 Co 2.06-2.10
24 B 0.7241 0.2759 0.7241  8 Co 2.06-2.10
25 B 0.2759 0.7241 0.7241  8 Co 2.06-2.10
26 B 0.2759 0.2759 0.7241  8 Co 2.06-2.10
27 B 0.7241 0.2759 0.2759  8 Co 2.06-2.10
28 B 0.2759 0.7241 0.2759  8 Co 2.06-2.10

# 7
## InCo2BIr (PBE)

Data for a relaxed InCo2BIr crystal.

## Properties
The calculation puts the total energy at -6.60 eV per atom. The spin magnetization is 0.22 μB/atom. Its theoretical density is 11.32 g/cm³.

Cell lengths 3.9535, 3.9535, 4.0897 Å; angles 90.00, 90.00, 90.00 degrees
With the nearest neighbours (Å) after each atom.
Sites, in units of the cell vectors:
1 B 0.0000 0.0000 0.0000  4 Co 1.98, 2 Ir 2.04
2 Ir 0.0000 0.0000 0.5000  2 B 2.04
3 Co 0.0000 0.5000 0.0000  2 B 1.98
4 Co 0.5000 0.0000 0.0000  2 B 1.98
5 In 0.5000 0.5000 0.5000  4 Ir 2.80, 8 Co 2.84

# 8
## LaIn2CoB (PBE)

Data for a relaxed LaIn2CoB crystal.

## Properties
The calculation puts the total energy at -3.03 eV per atom. The spin magnetization is 0.00 μB/atom. Its theoretical density is 4.22 g/cm³.

Cell lengths 6.2116, 4.4701, 6.2116 Å; angles 90.00, 90.00, 90.00 degrees
With the nearest neighbours (Å) after each atom.
Sites, in units of the cell vectors:
1 B 0.5000 0.5000 0.5000  8 In 3.83
2 In 0.0000 0.0000 0.5000  2 La 3.11
3 In 0.5000 0.0000 0.0000  2 La 3.11
4 Co 0.0000 0.5000 0.0000  2 La 2.24
5 La 0.0000 0.0000 0.0000  2 Co 2.24

# 9
## InCoNiB (PBE)

Data for a relaxed InCoNiB crystal.

## Properties
The distance to the lowest polymorph of the same formula comes out at 0 meV/atom. The calculation puts the total energy at -5.67 eV per atom. The spin magnetization is 0.00 μB/atom. Its theoretical density is 8.07 g/cm³.

Cell lengths 3.1170, 3.1170, 17.8570 Å; angles 90.00, 90.00, 120.00 degrees
With the nearest neighbours (Å) after each atom.
Sites, in units of the cell vectors:
1 Ni 0.0000 0.0000 0.1937  3 B 2.04
2 Ni 0.3333 0.6667 0.8604  3 B 2.04
3 Ni 0.6667 0.3333 0.5271  3 B 2.04
4 B 0.0000 0.0000 0.8061  3 Co 1.98, 3 Ni 2.04
5 B 0.3333 0.6667 0.4728  3 Co 1.98, 3 Ni 2.04
6 B 0.6667 0.3333 0.1395  3 Co 1.98, 3 Ni 2.04
7 Co 0.0000 0.0000 0.4260  3 B 1.98
8 Co 0.3333 0.6667 0.0926  3 B 1.98
9 Co 0.6667 0.3333 0.7593  3 B 1.98
10 In 0.0000 0.0000 0.6440  3 Co 2.73, 3 Ni 2.76, 1 B 2.89
11 In 0.3333 0.6667 0.3107  3 Co 2.73, 3 Ni 2.76, 1 B 2.89
12 In 0.6667 0.3333 0.9774  3 Co 2.73, 3 Ni 2.76, 1 B 2.89

# 10
## InCoNiB (PBE)

Data for a relaxed InCoNiB crystal.

## Properties
The distance to the lowest polymorph of the same formula comes out at 28 meV/atom. The calculation puts the total energy at -5.64 eV per atom. The spin magnetization is 0.00 μB/atom. Its theoretical density is 8.04 g/cm³.

Cell lengths 3.0900, 3.0900, 18.2329 Å; angles 90.00, 90.00, 120.00 degrees
With the nearest neighbours (Å) after each atom.
Sites, in units of the cell vectors:
1 Ni 0.0000 0.0000 0.6292  3 B 2.04
2 Ni 0.3333 0.6667 0.2958  3 B 2.04
3 Ni 0.6667 0.3333 0.9625  3 B 2.04
4 B 0.0000 0.0000 0.3497  3 Co 1.98, 3 Ni 2.04
5 B 0.3333 0.6667 0.0164  3 Co 1.98, 3 Ni 2.04
6 B 0.6667 0.3333 0.6831  3 Co 1.98, 3 Ni 2.04
7 Co 0.0000 0.0000 0.0631  3 B 1.98
8 Co 0.3333 0.6667 0.7298  3 B 1.98
9 Co 0.6667 0.3333 0.3964  3 B 1.98
10 In 0.0000 0.0000 0.8459  3 Co 2.77, 3 Ni 2.78, 6 In 3.09
11 In 0.3333 0.6667 0.5126  3 Co 2.77, 3 Ni 2.78, 6 In 3.09
12 In 0.6667 0.3333 0.1792  3 Co 2.77, 3 Ni 2.78, 6 In 3.09

# 11
## InCoNiB (PBE)

Data for a relaxed InCoNiB crystal.

## Properties
The distance to the lowest polymorph of the same formula comes out at 82 meV/atom. The calculation puts the total energy at -5.58 eV per atom. The spin magnetization is 0.11 μB/atom. Its theoretical density is 8.43 g/cm³.

Cell lengths 2.8298, 2.7943, 12.1160 Å; angles 90.00, 90.00, 90.00 degrees
With the nearest neighbours (Å) after each atom.
Sites, in units of the cell vectors:
1 Ni 0.5000 0.0000 0.3330  2 B 2.01
2 Ni 0.5000 0.5000 0.8330  2 B 2.01
3 B 0.0000 0.0000 0.4513  2 Ni 2.01, 4 Co 2.11
4 B 0.0000 0.5000 0.9513  2 Ni 2.01, 4 Co 2.11
5 Co 0.5000 0.0000 0.0092  4 B 2.11
6 Co 0.5000 0.5000 0.5092  4 B 2.11
7 In 0.0000 0.0000 0.6763  1 B 2.73, 4 Ni 2.75, 4 In 2.79-2.83, 4 Co 2.84
8 In 0.0000 0.5000 0.1763  1 B 2.73, 4 Ni 2.75, 4 In 2.79-2.83, 4 Co 2.84

# 12
## InCoNi2B (PBE)

Data for a relaxed InCoNi2B crystal.

## Properties
The calculation puts the total energy at -5.78 eV per atom. The spin magnetization is 0.06 μB/atom. Its theoretical density is 8.60 g/cm³.

Cell lengths 3.8888, 3.8888, 3.8554 Å; angles 90.00, 90.00, 90.00 degrees
With the nearest neighbours (Å) after each atom.
Sites, in units of the cell vectors:
1 Ni 0.0000 0.5000 0.0000  2 B 1.94
2 Ni 0.5000 0.0000 0.0000  2 B 1.94
3 B 0.0000 0.0000 0.0000  2 Co 1.93, 4 Ni 1.94
4 Co 0.0000 0.0000 0.5000  2 B 1.93
5 In 0.5000 0.5000 0.5000  8 Ni 2.74, 4 Co 2.75

# 13
## InCo2NiB (PBE)

Data for a relaxed InCo2NiB crystal.

## Properties
The calculation puts the total energy at -6.01 eV per atom. The spin magnetization is 0.00 μB/atom. Its theoretical density is 8.54 g/cm³.

Cell lengths 3.8835, 3.8835, 3.8957 Å; angles 90.00, 90.00, 90.00 degrees
With the nearest neighbours (Å) after each atom.
Sites, in units of the cell vectors:
1 Ni 0.0000 0.0000 0.5000  2 B 1.95
2 B 0.0000 0.0000 0.0000  4 Co 1.94, 2 Ni 1.95
3 Co 0.0000 0.5000 0.0000  2 B 1.94
4 Co 0.5000 0.0000 0.0000  2 B 1.94
5 In 0.5000 0.5000 0.5000  4 Ni 2.75, 8 Co 2.75

# 14
## InCoNiB (PBE)

Data for a relaxed InCoNiB crystal.

## Properties
The distance to the lowest polymorph of the same formula comes out at 44 meV/atom. The calculation puts the total energy at -5.62 eV per atom. The spin magnetization is 0.00 μB/atom. Its theoretical density is 8.06 g/cm³.

Cell lengths 3.0908, 3.0908, 6.0585 Å; angles 90.00, 90.00, 120.00 degrees
With the nearest neighbours (Å) after each atom.
Sites, in units of the cell vectors:
1 Ni 0.3333 0.6667 0.2949  3 B 2.04
2 B 0.0000 0.0000 0.1330  3 Co 1.99, 3 Ni 2.04
3 Co 0.6667 0.3333 0.9895  3 B 1.99
4 In 0.0000 0.0000 0.6432  3 Co 2.75, 3 Ni 2.76, 1 B 2.97

# 15
## InCoNiB (PBE)

Data for a relaxed InCoNiB crystal.

## Properties
The distance to the lowest polymorph of the same formula comes out at 172 meV/atom. The calculation puts the total energy at -5.49 eV per atom. The spin magnetization is 0.00 μB/atom. Its theoretical density is 7.10 g/cm³.

Cell lengths 2.8816, 3.9750, 4.9649 Å; angles 90.00, 90.00, 90.00 degrees
With the nearest neighbours (Å) after each atom.
Sites, in units of the cell vectors:
1 Ni 0.5000 0.0000 0.5472  2 B 1.94
2 B 0.0000 0.0000 0.8074  2 Co 1.90, 2 Ni 1.94
3 Co 0.5000 0.0000 0.0566  2 B 1.90
4 In 0.0000 0.5000 0.2773  4 Co 2.69, 4 Ni 2.80, 2 In 2.88